Record 1
Below is an optimized crystal structure of SrInSi2, with properties calculated at the PBE level.

Cell lengths 5.9797, 5.9797, 5.9797 Å; angles 46.12, 46.12, 46.12 degrees
Closest atoms and distances in Å follow each position.
Element x y z (fractional)
In 0.7500 0.7500 0.7500  6 Si 2.78
Si 0.0435 0.0435 0.0435  3 In 2.78, 3 Si 2.99
Si 0.4565 0.4565 0.4565  3 In 2.78, 3 Si 2.99
Sr 0.2500 0.2500 0.2500  8 Si 3.30-3.38

SG	R-3m (166)
formation energy (no corrections)	0.13	eV/f.u.
theoretical density	4.2	g/cm3
total magnetization	0.00	Bohr magnetons per cell

=====

Record 2
Below is an optimized crystal structure of NpCuPd2O8, with properties calculated at the PBE level.

Cell lengths 5.8299, 5.8299, 5.8299 Å; angles 112.13, 112.13, 104.28 degrees
Closest atoms and distances in Å follow each position.
Element x y z (fractional)
Np 0.0000 0.0000 0.0000  4 O 2.00
Cu 0.2500 0.7500 0.5000  4 O 2.03
Pd 0.7500 0.2500 0.5000  4 O 1.98
Pd 0.5000 0.5000 0.0000  4 O 1.98
O 0.3430 0.0387 0.3042  1 Pd 1.98, 1 Np 2.00
O 0.2838 0.4747 0.1909  1 Pd 1.98, 1 Cu 2.03
O 0.2838 0.0929 0.8091  1 Pd 1.98, 1 Cu 2.03
O 0.7345 0.0387 0.6958  1 Pd 1.98, 1 Np 2.00
O 0.9071 0.7162 0.1909  1 Pd 1.98, 1 Cu 2.03
O 0.9613 0.2655 0.3042  1 Pd 1.98, 1 Np 2.00
O 0.9613 0.6570 0.6958  1 Pd 1.98, 1 Np 2.00
O 0.5253 0.7162 0.8091  1 Pd 1.98, 1 Cu 2.03

SG	I-4m2 (119)
formation energy (no corrections)	-9.23	eV/f.u.
theoretical density	7.0	g/cm3
total magnetization	0.92	Bohr magnetons per cell

=====

Record 3
Below is an optimized crystal structure of K2TiSe2O6, with properties calculated at the PBE level.

Cell lengths 6.6012, 5.5098, 6.3623 Å; angles 102.77, 90.00, 126.80 degrees
Closest atoms and distances in Å follow each position.
Element x y z (fractional)
K 0.6873 0.3746 0.0720  5 O 2.66-2.93
K 0.3127 0.6254 0.9280  5 O 2.66-2.93
Ti 0.5000 0.0000 0.5000  4 O 1.92
Se 0.9500 0.9000 0.7022  1 O 1.73
Se 0.0500 0.1000 0.2978  1 O 1.73
O 0.7490 0.4980 0.6688  1 Se 1.73
O 0.3220 0.0568 0.3006  1 Ti 1.92, 1 Se 1.95
O 0.2652 0.9432 0.6994  1 Ti 1.92, 1 Se 1.95
O 0.6780 0.9432 0.6994  1 Ti 1.92, 1 Se 1.95
O 0.7348 0.0568 0.3006  1 Ti 1.92, 1 Se 1.95
O 0.2510 0.5020 0.3312  1 Se 1.73

SG	C2/m (12)
formation energy (no corrections)	-16.31	eV/f.u.
theoretical density	3.5	g/cm3
total magnetization	0.00	Bohr magnetons per cell

=====

Record 4
Below is an optimized crystal structure of SrPOs, with properties calculated at the PBE level.

Cell lengths 4.0652, 4.0652, 8.9120 Å; angles 90.00, 90.00, 90.00 degrees
Closest atoms and distances in Å follow each position.
Element x y z (fractional)
P 0.5000 0.0000 0.6350  4 Os 2.36
P 0.0000 0.5000 0.3650  4 Os 2.36
Sr 0.5000 0.0000 0.1991  4 P 3.23, 4 Os 3.37
Sr 0.0000 0.5000 0.8009  4 P 3.23, 4 Os 3.37
Os 0.5000 0.5000 0.5000  4 P 2.36
Os 0.0000 0.0000 0.5000  4 P 2.36

SG	P4/nmm (129)
energy of formation	-0.62	eV/atom
theoretical density	7.0	g/cm3
total magnetization	0.00	Bohr magnetons per cell